Entry 1:
An optimized crystal structure of KBOs. Source: the Open Quantum Materials Database, functional GGA-PBE.

Cell lengths 4.1830, 4.1830, 4.1830 Å; angles 60.00, 60.00, 60.00 degrees
Fractional positions:
K1 0.0000 0.0000 0.0000
B1 0.2500 0.2500 0.2500
Os1 0.5000 0.5000 0.5000

symmetry = F-43m, No. 216
E above lowest polymorph = 0 meV/atom
uncorrected energy = -4.245 eV per atom

Entry 2:
An optimized crystal structure of K2B5Os3. Source: the Open Quantum Materials Database, functional GGA-PBE.

Cell lengths 5.9240, 5.9240, 7.7645 Å; angles 121.11, 121.11, 40.45 degrees
Fractional positions:
K1 0.1767 0.1767 0.3029
K2 0.8233 0.8233 0.6971
B1 0.1384 0.1442 0.8163
B2 0.2411 0.6882 0.3740
B3 0.3118 0.7589 0.6260
B4 0.5014 0.4986 0.0000
B5 0.8558 0.8616 0.1837
Os1 0.3777 0.3448 0.0899
Os2 0.6552 0.6223 0.9101
Os3 0.7840 0.2160 0.5000

symmetry = C2, No. 5
uncorrected energy = -6.881 eV per atom

Entry 3:
An optimized crystal structure of KBPd. Source: the Open Quantum Materials Database, functional GGA-PBE.

Cell lengths 4.4018, 4.4018, 4.4018 Å; angles 60.00, 60.00, 60.00 degrees
Fractional positions:
K1 0.0000 0.0000 0.0000
B1 0.2500 0.2500 0.2500
Pd1 0.5000 0.5000 0.5000

symmetry = F-43m, No. 216
E above lowest polymorph = 0 meV/atom
uncorrected energy = -3.121 eV per atom

Entry 4:
An optimized crystal structure of KBPd. Source: the Open Quantum Materials Database, functional GGA-PBE.

Cell lengths 4.4550, 4.4550, 4.4550 Å; angles 60.00, 60.00, 60.00 degrees
Fractional positions:
K1 0.0000 0.0000 0.0000
B1 0.5000 0.5000 0.5000
Pd1 0.7500 0.7500 0.7500

symmetry = F-43m, No. 216
E above lowest polymorph = 97 meV/atom
uncorrected energy = -3.024 eV per atom

Entry 5:
An optimized crystal structure of KBPd. Source: the Open Quantum Materials Database, functional GGA-PBE.

Cell lengths 4.7084, 4.7084, 4.7084 Å; angles 60.00, 60.00, 60.00 degrees
Fractional positions:
K1 0.0000 0.0000 0.0000
B1 0.7500 0.7500 0.7500
Pd1 0.2500 0.2500 0.2500

symmetry = F-43m, No. 216
E above lowest polymorph = 704 meV/atom
uncorrected energy = -2.417 eV per atom

Entry 6:
An optimized crystal structure of KPmB4. Source: the Open Quantum Materials Database, functional GGA-PBE.

Cell lengths 5.7905, 5.7905, 5.7905 Å; angles 148.76, 94.26, 94.05 degrees
Fractional positions:
K1 0.0000 0.0000 0.0000
Pm1 0.5000 0.5000 0.0000
B1 0.0199 0.7564 0.2636
B2 0.4928 0.7564 0.7364
B3 0.5072 0.2436 0.2636
B4 0.9801 0.2436 0.7364

symmetry = Immm, No. 71
E above lowest polymorph = 0 meV/atom
uncorrected energy = -5.373 eV per atom

Entry 7:
An optimized crystal structure of KPmB4. Source: the Open Quantum Materials Database, functional GGA-PBE.

Cell lengths 3.2274, 3.2274, 9.0652 Å; angles 90.00, 90.00, 120.00 degrees
Fractional positions:
K1 0.0000 0.0000 0.0000
Pm1 0.0000 0.0000 0.5000
B1 0.3333 0.6667 0.2752
B2 0.3333 0.6667 0.7248
B3 0.6667 0.3333 0.2752
B4 0.6667 0.3333 0.7248

symmetry = P6/mmm, No. 191
E above lowest polymorph = 83 meV/atom
uncorrected energy = -5.290 eV per atom

Entry 8:
An optimized crystal structure of KPrB4. Source: the Open Quantum Materials Database, functional GGA-PBE.

Cell lengths 5.8623, 5.8623, 5.8623 Å; angles 149.04, 94.10, 94.07 degrees
Fractional positions:
K1 0.0000 0.0000 0.0000
Pr1 0.5000 0.5000 0.0000
B1 0.0184 0.7560 0.2624
B2 0.4936 0.7560 0.7376
B3 0.5064 0.2440 0.2624
B4 0.9816 0.2440 0.7376

symmetry = Immm, No. 71
E above lowest polymorph = 0 meV/atom
uncorrected energy = -5.381 eV per atom

Entry 9:
An optimized crystal structure of KPrB. Source: the Open Quantum Materials Database, functional GGA-PBE.

Cell lengths 4.8387, 4.8387, 4.8387 Å; angles 60.00, 60.00, 60.00 degrees
Fractional positions:
K1 0.0000 0.0000 0.0000
Pr1 0.5000 0.5000 0.5000
B1 0.2500 0.2500 0.2500

symmetry = F-43m, No. 216
E above lowest polymorph = 0 meV/atom
uncorrected energy = -3.300 eV per atom

Entry 10:
An optimized crystal structure of KPrB4. Source: the Open Quantum Materials Database, functional GGA-PBE.

Cell lengths 3.2122, 3.2122, 9.3118 Å; angles 90.00, 90.00, 120.00 degrees
Fractional positions:
K1 0.0000 0.0000 0.0000
Pr1 0.0000 0.0000 0.5000
B1 0.3333 0.6667 0.2699
B2 0.3333 0.6667 0.7301
B3 0.6667 0.3333 0.2699
B4 0.6667 0.3333 0.7301

symmetry = P6/mmm, No. 191
E above lowest polymorph = 147 meV/atom
uncorrected energy = -5.234 eV per atom

Entry 11:
An optimized crystal structure of KB4Pt. Source: the Open Quantum Materials Database, functional GGA-PBE.

Cell lengths 3.1057, 3.1057, 8.2389 Å; angles 90.00, 90.00, 120.00 degrees
Fractional positions:
K1 0.0000 0.0000 0.0000
B1 0.3333 0.6667 0.2982
B2 0.3333 0.6667 0.7018
B3 0.6667 0.3333 0.2982
B4 0.6667 0.3333 0.7018
Pt1 0.0000 0.0000 0.5000

symmetry = P6/mmm, No. 191
E above lowest polymorph = 0 meV/atom
uncorrected energy = -5.311 eV per atom

Entry 12:
An optimized crystal structure of K3B2Pt4. Source: the Open Quantum Materials Database, functional GGA-PBE.

Cell lengths 6.2547, 6.2547, 10.4589 Å; angles 105.22, 105.22, 28.76 degrees
Fractional positions:
K1 0.0000 0.0000 0.0000
K2 0.3526 0.3526 0.6514
K3 0.6474 0.6474 0.3486
B1 0.3552 0.3552 0.2505
B2 0.6448 0.6448 0.7495
Pt1 0.0766 0.0766 0.6176
Pt2 0.2093 0.2093 0.8798
Pt3 0.7907 0.7907 0.1202
Pt4 0.9234 0.9234 0.3824

symmetry = C2/m, No. 12
uncorrected energy = -4.819 eV per atom

Among the records above, which one has the highest uncorrected energy? number 5

Among the records above, which one has the highest uncorrected energy? number 5

uncorrected energy of number 6 (KPmB4)? -5.373 eV per atom